An optimized crystal structure of Rb2MnBr2F2. Source: Alexandria via LeMat-Bulk, functional PBE with a Hubbard U.

For the total magnetization, the calculation gives 5.0 μB/f.u. The total energy comes out at -0.327 Ry per atom. For the density of states at the Fermi level, the calculation gives 0.000 states/eV/atom.

The space group is I4/mmm (No. 139) and the conventional cell measures 4.620, 4.620 and 16.777 Å, with angles of 90.00, 90.00 and 90.00 degrees. The distinct sites, in fractional coordinates, are Rb at (0.000, 0.000, 0.120), Mn at (0.000, 0.000, 0.500), Br at (0.000, 0.000, 0.341) and F at (0.000, 0.500, 0.000).